No. 1
First-principles (PBE) data for NaCdPO after structural relaxation, as listed in the Open Quantum Materials Database.

Properties
excess energy over the best structure of this formula in the dataset = 0 meV/atom

Unit cell a=4.360 b=7.228 c=4.357 alpha=90.00 beta=90.00 gamma=90.00
Space group Pmc2_1 (No. 26)
Symmetry-distinct sites (fractional):
Na: 0.000 0.166 0.000 (multiplicity 2)
Cd: 0.500 0.206 0.502 (multiplicity 2)
P: 0.000 0.438 0.501 (multiplicity 2)
O: 0.500 0.121 0.001 (multiplicity 2)


No. 2
First-principles (PBE) data for Na2Cd3P4O14 after structural relaxation, as listed in the Open Quantum Materials Database.

Properties
total energy = -142.3 eV per formula unit

Unit cell a=5.655 b=7.004 c=7.857 alpha=76.97 beta=82.76 gamma=67.69
Space group P-1 (No. 2)
Symmetry-distinct sites (fractional):
Na: 0.084 0.009 0.181 (multiplicity 2)
Cd: 0.312 0.462 0.193 (multiplicity 2)
Cd: 0.500 0.000 0.500 (multiplicity 1)
P: 0.154 0.673 0.576 (multiplicity 2)
P: 0.304 0.261 0.836 (multiplicity 2)
O: 0.047 0.264 0.928 (multiplicity 2)
O: 0.129 0.236 0.357 (multiplicity 2)
O: 0.186 0.701 0.380 (multiplicity 2)
O: 0.247 0.424 0.648 (multiplicity 2)
O: 0.313 0.763 0.658 (multiplicity 2)
O: 0.449 0.340 0.940 (multiplicity 2)
O: 0.465 0.054 0.782 (multiplicity 2)


No. 3
First-principles (PBE) data for NaCdPO after structural relaxation, as listed in the Open Quantum Materials Database.

Properties
excess energy over the best structure of this formula in the dataset = 514 meV/atom

Unit cell a=4.334 b=4.334 c=6.832 alpha=90.00 beta=90.00 gamma=90.00
Space group P4/nmm (No. 129, origin choice 2)
Symmetry-distinct sites (fractional):
Na: 0.250 0.250 0.126 (multiplicity 2)
Cd: 0.250 0.750 0.500 (multiplicity 2)
P: 0.250 0.250 0.735 (multiplicity 2)
O: 0.250 0.750 0.000 (multiplicity 2)


No. 4
First-principles (PBE) data for NaPrCdO3 after structural relaxation, as listed in the Open Quantum Materials Database.

Properties
total energy = -32.9 eV per formula unit
total magnetic moment = 0.000 μB/atom

Unit cell a=3.782 b=11.681 c=9.344 alpha=90.00 beta=90.00 gamma=90.00
Space group Cmcm (No. 63)
Symmetry-distinct sites (fractional):
Na: 0.000 0.156 0.250 (multiplicity 4)
Pr: 0.000 0.500 0.000 (multiplicity 4)
Cd: 0.000 0.121 0.750 (multiplicity 4)
O: 0.000 0.128 0.530 (multiplicity 8)
O: 0.000 0.468 0.750 (multiplicity 4)


No. 5
First-principles (PBE) data for Na2CdS2O8 after structural relaxation, as listed in the Open Quantum Materials Database.

Properties
total energy = -72.2 eV per formula unit

Unit cell a=9.950 b=8.171 c=8.534 alpha=90.00 beta=114.07 gamma=90.00
Space group C2/c (No. 15)
Symmetry-distinct sites (fractional):
Na: 0.136 0.055 0.434 (multiplicity 8)
Cd: 0.000 0.434 0.750 (multiplicity 4)
S: 0.190 0.287 0.190 (multiplicity 8)
O: 0.117 0.127 0.132 (multiplicity 8)
O: 0.137 0.414 0.054 (multiplicity 8)
O: 0.147 0.225 0.748 (multiplicity 8)
O: 0.158 0.343 0.339 (multiplicity 8)


No. 6
First-principles (PBE) data for Na4Cd2Si3O10 after structural relaxation, as listed in the Open Quantum Materials Database.

Properties
total energy = -114.1 eV per formula unit

Unit cell a=9.868 b=5.846 c=17.593 alpha=90.00 beta=100.06 gamma=90.00
Space group C2/c (No. 15)
Symmetry-distinct sites (fractional):
Na: 0.175 0.106 0.245 (multiplicity 8)
Na: 0.244 0.432 0.439 (multiplicity 8)
Cd: 0.099 0.401 0.085 (multiplicity 8)
Si: 0.000 0.383 0.750 (multiplicity 4)
Si: 0.064 0.103 0.898 (multiplicity 8)
O: 0.062 0.330 0.954 (multiplicity 8)
O: 0.082 0.032 0.117 (multiplicity 8)
O: 0.094 0.206 0.813 (multiplicity 8)
O: 0.110 0.470 0.212 (multiplicity 8)
O: 0.196 0.061 0.428 (multiplicity 8)